1.
This record from the Alexandria database describes crystalline YCr2P at its relaxed geometry. The functional is PBE.

Lattice parameters (Å, degrees): 3.0638 3.0638 6.6344 90.00 90.00 90.02
Fractional positions:
Cr: 0.5000 0.5000 0.2543
Cr: 0.0000 0.0000 0.0684
P: 0.0000 0.0000 0.4318
Y: 0.5000 0.5000 0.7455

Values from the calculation:
The formation energy comes out at -0.113 eV/atom. The density of states at the Fermi level comes out at 0.842 states/eV/atom. The calculation puts the total energy at -7.89 eV per atom.


2.
This record from the Alexandria database describes crystalline Rh3SeI at its relaxed geometry. The functional is PBE.

Lattice parameters (Å, degrees): 4.8566 4.8566 4.8566 90.00 90.00 90.00
Fractional positions:
Rh: 0.0000 0.5000 0.0000
Rh: 0.0000 0.0000 0.5000
Rh: 0.5000 0.0000 0.0000
I: 0.0000 0.0000 0.0000
Se: 0.5000 0.5000 0.5000

Values from the calculation:
The value obtained for the uncorrected formation energy is 1.20 eV/atom. The density of states at the Fermi level comes out at 1.439 states/eV/atom. The calculation puts the total energy at -4.22 eV per atom.